## KY2CBr (PBE)

Data for a geometry-optimized KY2CBr structure.

POSCAR file:
```
KY2CBr
1.0
5.3379 0.0000 0.0000
0.0000 5.3379 0.0000
0.0000 0.0000 5.6084
K Y C Br
1 2 1 1
Direct
0.0000 0.0000 0.0000 K
0.0000 0.5000 0.5000 Y
0.5000 0.0000 0.5000 Y
0.5000 0.5000 0.0000 C
0.0000 0.0000 0.5000 Br
```

Summary:
DOS at the Fermi energy = 0.8625 states/eV per atom
formation energy without anion corrections = 1.196 eV/atom
electronic total energy = -18.94 eV for the cell shown

## LaCBr2 (PBE)

Data for a geometry-optimized LaCBr2 structure.

POSCAR file:
```
LaCBr2
1.0
1.9590 1.1310 8.5844
-1.9590 1.1310 8.5844
0.0000 -2.2620 8.5844
La C Br
1 1 2
Direct
0.0000 0.0000 0.0000 La
0.5000 0.5000 0.5000 C
0.1124 0.1124 0.1124 Br
0.8876 0.8876 0.8876 Br
```

Summary:
DOS at the Fermi energy = 1.1265 states/eV per atom
formation energy without anion corrections = 1.050 eV/atom
electronic total energy = -13.30 eV for the cell shown

## La2CBr2 (PBE)

Data for a geometry-optimized La2CBr2 structure.

POSCAR file:
```
La2CBr2
1.0
9.7756 0.0000 0.0000
0.0000 7.7926 0.0000
-0.9446 0.0000 7.6599
La C Br
8 4 8
Direct
0.0627 0.1492 0.3445 La
0.0627 0.3508 0.8445 La
0.3238 0.5232 0.2472 La
0.3238 0.9768 0.7472 La
0.6762 0.0232 0.2528 La
0.6762 0.4768 0.7528 La
0.9373 0.6492 0.1555 La
0.9373 0.8508 0.6555 La
0.1174 0.0818 0.6600 C
0.1174 0.4182 0.1600 C
0.8826 0.5818 0.8400 C
0.8826 0.9182 0.3400 C
0.2057 0.6194 0.6125 Br
0.2057 0.8806 0.1125 Br
0.4404 0.2197 0.4760 Br
0.4404 0.2803 0.9760 Br
0.5596 0.7197 0.0240 Br
0.5596 0.7803 0.5240 Br
0.7943 0.1194 0.8875 Br
0.7943 0.3806 0.3875 Br
```

Summary:
formation energy without anion corrections = -1.159 eV/atom
electronic total energy = -112.88 eV for the cell shown

## LaCBr2 (PBE)

Data for a geometry-optimized LaCBr2 structure.

POSCAR file:
```
LaCBr2
1.0
0.0000 3.6423 3.6423
3.6423 0.0000 3.6423
3.6423 3.6423 0.0000
La C Br
1 1 2
Direct
0.0000 0.0000 0.0000 La
0.5000 0.5000 0.5000 C
0.2500 0.2500 0.2500 Br
0.7500 0.7500 0.7500 Br
```

Summary:
DOS at the Fermi energy = 0.0000 states/eV per atom
formation energy without anion corrections = 0.146 eV/atom
electronic total energy = -16.91 eV for the cell shown

## LaCBr3 (PBE)

Data for a geometry-optimized LaCBr3 structure.

POSCAR file:
```
LaCBr3
1.0
4.8529 0.0000 0.0000
0.0000 4.8529 0.0000
0.0000 0.0000 4.8529
La C Br
1 1 3
Direct
0.0000 0.0000 0.0000 La
0.5000 0.5000 0.5000 C
0.0000 0.5000 0.5000 Br
0.5000 0.0000 0.5000 Br
0.5000 0.5000 0.0000 Br
```

Summary:
DOS at the Fermi energy = 1.1666 states/eV per atom
formation energy without anion corrections = 0.195 eV/atom
electronic total energy = -18.20 eV for the cell shown

## LaC2Br (PBE)

Data for a geometry-optimized LaC2Br structure.

POSCAR file:
```
LaC2Br
1.0
0.0000 3.2157 3.2157
3.2157 0.0000 3.2157
3.2157 3.2157 0.0000
La C Br
1 2 1
Direct
0.0000 0.0000 0.0000 La
0.2500 0.2500 0.2500 C
0.7500 0.7500 0.7500 C
0.5000 0.5000 0.5000 Br
```

Summary:
DOS at the Fermi energy = 1.1590 states/eV per atom
formation energy without anion corrections = 1.659 eV/atom
electronic total energy = -18.41 eV for the cell shown

## La3CBr5 (PBE)

Data for a geometry-optimized La3CBr5 structure.

POSCAR file:
```
La3CBr5
1.0
7.2046 -5.5201 0.0000
7.2046 5.5201 0.0000
-4.2394 0.0000 14.0418
La C Br
12 4 20
Direct
0.1242 0.1552 0.4043 La
0.1552 0.1242 0.9043 La
0.1806 0.5133 0.0871 La
0.2108 0.4911 0.8255 La
0.4867 0.8194 0.4129 La
0.4911 0.2108 0.3255 La
0.5089 0.7892 0.6745 La
0.5133 0.1806 0.5871 La
0.7892 0.5089 0.1745 La
0.8194 0.4867 0.9129 La
0.8448 0.8758 0.0957 La
0.8758 0.8448 0.5957 La
0.1025 0.3907 0.9201 C
0.3907 0.1025 0.4201 C
0.6093 0.8975 0.5799 C
0.8975 0.6093 0.0799 C
0.1189 0.7975 0.9814 Br
0.1377 0.3841 0.2762 Br
0.1450 0.8550 0.2500 Br
0.1645 0.3683 0.5924 Br
0.1943 0.8057 0.7500 Br
0.2025 0.8811 0.5186 Br
0.3683 0.1645 0.0924 Br
0.3841 0.1377 0.7762 Br
0.4799 0.5201 0.2500 Br
0.5000 0.5000 0.0000 Br
0.5000 0.5000 0.5000 Br
0.5201 0.4799 0.7500 Br
0.6159 0.8623 0.2238 Br
0.6317 0.8355 0.9076 Br
0.7975 0.1189 0.4814 Br
0.8057 0.1943 0.2500 Br
0.8355 0.6317 0.4076 Br
0.8550 0.1450 0.7500 Br
0.8623 0.6159 0.7238 Br
0.8811 0.2025 0.0186 Br
```

Summary:
DOS at the Fermi energy = 0.0000 states/eV per atom
formation energy without anion corrections = -1.639 eV/atom
electronic total energy = -188.47 eV for the cell shown

## La3CBr2 (PBE)

Data for a geometry-optimized La3CBr2 structure.

POSCAR file:
```
La3CBr2
1.0
3.9641 -6.1296 0.0000
3.9641 6.1296 0.0000
-2.1909 0.0000 6.4747
La C Br
6 2 4
Direct
0.0000 0.5000 0.0000 La
0.1118 0.2546 0.4970 La
0.2546 0.1118 0.9970 La
0.5000 0.0000 0.5000 La
0.7454 0.8882 0.0030 La
0.8882 0.7454 0.5030 La
0.0853 0.9147 0.2500 C
0.9147 0.0853 0.7500 C
0.2714 0.7286 0.7500 Br
0.4273 0.5727 0.2500 Br
0.5727 0.4273 0.7500 Br
0.7286 0.2714 0.2500 Br
```

Summary:
DOS at the Fermi energy = 0.5126 states/eV per atom
formation energy without anion corrections = -0.939 eV/atom
electronic total energy = -65.97 eV for the cell shown

## La3CBr (PBE)

Data for a geometry-optimized La3CBr structure.

POSCAR file:
```
La3CBr
1.0
5.2295 0.0000 0.0000
0.0000 5.2295 0.0000
0.0000 0.0000 5.2295
La C Br
3 1 1
Direct
0.0000 0.0000 0.5000 La
0.0000 0.5000 0.0000 La
0.5000 0.0000 0.0000 La
0.0000 0.0000 0.0000 C
0.5000 0.5000 0.5000 Br
```

Summary:
DOS at the Fermi energy = 1.3080 states/eV per atom
formation energy without anion corrections = -0.239 eV/atom
electronic total energy = -26.88 eV for the cell shown

## LaC3Br (PBE)

Data for a geometry-optimized LaC3Br structure.

POSCAR file:
```
LaC3Br
1.0
4.8640 0.0000 0.0000
0.0000 4.8640 0.0000
0.0000 0.0000 4.8640
La C Br
1 3 1
Direct
0.0000 0.0000 0.0000 La
0.0000 0.0000 0.5000 C
0.0000 0.5000 0.0000 C
0.5000 0.0000 0.0000 C
0.5000 0.5000 0.5000 Br
```

Summary:
DOS at the Fermi energy = 1.0468 states/eV per atom
formation energy without anion corrections = 2.968 eV/atom
electronic total energy = -19.43 eV for the cell shown

## LaC2Br (PBE)

Data for a geometry-optimized LaC2Br structure.

POSCAR file:
```
LaC2Br
1.0
-2.6664 2.6664 5.9178
2.6664 -2.6664 5.9178
2.6664 2.6664 -5.9178
La C Br
2 4 2
Direct
0.0000 0.0000 0.0000 La
0.7500 0.2500 0.5000 La
0.1633 0.6250 0.0383 C
0.3750 0.4133 0.5383 C
0.5867 0.1250 0.9617 C
0.8750 0.8367 0.4617 C
0.2500 0.7500 0.5000 Br
0.5000 0.5000 0.0000 Br
```

Summary:
DOS at the Fermi energy = 0.0892 states/eV per atom
formation energy without anion corrections = 1.719 eV/atom
electronic total energy = -36.35 eV for the cell shown

## LaCBr2 (PBE)

Data for a geometry-optimized LaCBr2 structure.

POSCAR file:
```
LaCBr2
1.0
-2.2852 2.2852 9.8439
2.2852 -2.2852 9.8439
2.2852 2.2852 -9.8439
La C Br
2 2 4
Direct
0.0000 0.0000 0.0000 La
0.7500 0.2500 0.5000 La
0.2500 0.7500 0.5000 C
0.5000 0.5000 0.0000 C
0.1350 0.6250 0.0100 Br
0.3750 0.3850 0.5100 Br
0.6150 0.1250 0.9900 Br
0.8750 0.8650 0.4900 Br
```

Summary:
DOS at the Fermi energy = 0.3947 states/eV per atom
formation energy without anion corrections = 0.313 eV/atom
electronic total energy = -32.49 eV for the cell shown

## La4CBr6 (PBE)

Data for a geometry-optimized La4CBr6 structure.

POSCAR file:
```
La4CBr6
1.0
9.8668 0.0000 0.0000
-4.9334 8.5449 0.0000
0.0000 0.0000 7.9287
La C Br
8 2 12
Direct
0.2036 0.4071 0.0000 La
0.2036 0.7964 0.0000 La
0.3333 0.6667 0.6102 La
0.4071 0.2036 0.5000 La
0.5929 0.7964 0.0000 La
0.6667 0.3333 0.1102 La
0.7964 0.2036 0.5000 La
0.7964 0.5929 0.5000 La
0.3333 0.6667 0.9085 C
0.6667 0.3333 0.4085 C
0.0712 0.5356 0.2972 Br
0.1453 0.2905 0.6215 Br
0.1453 0.8547 0.6215 Br
0.2905 0.1453 0.1215 Br
0.4644 0.5356 0.2972 Br
0.4644 0.9288 0.2972 Br
0.5356 0.0712 0.7972 Br
0.5356 0.4644 0.7972 Br
0.7095 0.8547 0.6215 Br
0.8547 0.1453 0.1215 Br
0.8547 0.7095 0.1215 Br
0.9288 0.4644 0.7972 Br
```

Summary:
DOS at the Fermi energy = 0.7593 states/eV per atom
formation energy without anion corrections = -1.499 eV/atom
electronic total energy = -110.93 eV for the cell shown

## La4C2Br5 (PBE)

Data for a geometry-optimized La4C2Br5 structure.

POSCAR file:
```
La4C2Br5
1.0
9.9134 -2.0087 0.0000
9.9134 2.0087 0.0000
-2.3784 0.0000 8.1317
La C Br
4 2 5
Direct
0.0007 0.0007 0.2977 La
0.3421 0.3421 0.3881 La
0.6579 0.6579 0.6119 La
0.9993 0.9993 0.7023 La
0.4629 0.4629 0.4742 C
0.5371 0.5371 0.5258 C
0.1599 0.1599 0.8791 Br
0.1664 0.1664 0.3415 Br
0.5000 0.5000 0.0000 Br
0.8336 0.8336 0.6585 Br
0.8401 0.8401 0.1209 Br
```

Summary:
DOS at the Fermi energy = 0.0840 states/eV per atom
formation energy without anion corrections = -1.466 eV/atom
electronic total energy = -62.64 eV for the cell shown

## La5C2Br9 (PBE)

Data for a geometry-optimized La5C2Br9 structure.

POSCAR file:
```
La5C2Br9
1.0
11.4647 0.0000 0.0000
0.0000 10.0456 0.0000
0.0000 0.0000 17.1076
La C Br
20 8 36
Direct
0.0386 0.2500 0.0652 La
0.0669 0.2500 0.8448 La
0.1343 0.7500 0.6406 La
0.1937 0.5468 0.4476 La
0.1937 0.9532 0.4476 La
0.3063 0.0468 0.9476 La
0.3063 0.4532 0.9476 La
0.3657 0.2500 0.1406 La
0.4331 0.7500 0.3448 La
0.4614 0.7500 0.5652 La
0.5386 0.2500 0.4348 La
0.5669 0.2500 0.6552 La
0.6343 0.7500 0.8594 La
0.6937 0.5468 0.0524 La
0.6937 0.9532 0.0524 La
0.8063 0.0468 0.5524 La
0.8063 0.4532 0.5524 La
0.8657 0.2500 0.3594 La
0.9331 0.7500 0.1552 La
0.9614 0.7500 0.9348 La
0.1777 0.2500 0.9565 C
0.2460 0.7500 0.5252 C
0.2540 0.2500 0.0252 C
0.3223 0.7500 0.4565 C
0.6777 0.2500 0.5435 C
0.7460 0.7500 0.9748 C
0.7540 0.2500 0.4748 C
0.8223 0.7500 0.0435 C
0.0694 0.0340 0.6043 Br
0.0694 0.4660 0.6043 Br
0.1146 0.5732 0.0574 Br
0.1146 0.9268 0.0574 Br
0.1212 0.2500 0.4328 Br
0.1285 0.5476 0.8241 Br
0.1285 0.9524 0.8241 Br
0.1389 0.2500 0.2231 Br
0.1597 0.7500 0.2966 Br
0.3403 0.2500 0.7966 Br
0.3611 0.7500 0.7231 Br
0.3715 0.0476 0.3241 Br
0.3715 0.4524 0.3241 Br
0.3788 0.7500 0.9328 Br
0.3854 0.0732 0.5574 Br
0.3854 0.4268 0.5574 Br
0.4306 0.5340 0.1043 Br
0.4306 0.9660 0.1043 Br
0.5694 0.0340 0.8957 Br
0.5694 0.4660 0.8957 Br
0.6146 0.5732 0.4426 Br
0.6146 0.9268 0.4426 Br
0.6212 0.2500 0.0672 Br
0.6285 0.5476 0.6759 Br
0.6285 0.9524 0.6759 Br
0.6389 0.2500 0.2769 Br
0.6597 0.7500 0.2034 Br
0.8403 0.2500 0.7034 Br
0.8611 0.7500 0.7769 Br
0.8715 0.0476 0.1759 Br
0.8715 0.4524 0.1759 Br
0.8788 0.7500 0.5672 Br
0.8854 0.0732 0.9426 Br
0.8854 0.4268 0.9426 Br
0.9306 0.5340 0.3957 Br
0.9306 0.9660 0.3957 Br
```

Summary:
DOS at the Fermi energy = 0.0000 states/eV per atom
formation energy without anion corrections = -1.667 eV/atom
electronic total energy = -339.27 eV for the cell shown

## La4C2Br (PBE)

Data for a geometry-optimized La4C2Br structure.

POSCAR file:
```
La4C2Br
1.0
1.9044 1.0995 14.6658
-1.9044 1.0995 14.6658
0.0000 -2.1990 14.6658
La C Br
4 2 1
Direct
0.1210 0.1210 0.1210 La
0.2774 0.2774 0.2774 La
0.7226 0.7226 0.7226 La
0.8790 0.8790 0.8790 La
0.4218 0.4218 0.4218 C
0.5782 0.5782 0.5782 C
0.0000 0.0000 0.0000 Br
```

Summary:
DOS at the Fermi energy = 0.6667 states/eV per atom
formation energy without anion corrections = -0.560 eV/atom
electronic total energy = -43.75 eV for the cell shown

## La3CBr (PBE)

Data for a geometry-optimized La3CBr structure.

POSCAR file:
```
La3CBr
1.0
5.5250 0.0000 0.0000
0.0000 7.8580 0.0000
-1.7378 0.0000 6.6729
La C Br
6 2 2
Direct
0.0010 0.2500 0.0015 La
0.3975 0.0002 0.7462 La
0.3975 0.4998 0.7462 La
0.6025 0.9998 0.2538 La
0.6025 0.5002 0.2538 La
0.9990 0.7500 0.9985 La
0.5001 0.2500 0.0007 C
0.4999 0.7500 0.9993 C
0.0019 0.7500 0.4985 Br
0.9981 0.2500 0.5015 Br
```

Summary:
DOS at the Fermi energy = 0.9670 states/eV per atom
formation energy without anion corrections = -0.477 eV/atom
electronic total energy = -56.13 eV for the cell shown

## La4C2Br5 (PBE)

Data for a geometry-optimized La4C2Br5 structure.

POSCAR file:
```
La4C2Br5
1.0
10.2267 -2.0247 0.0000
10.2267 2.0247 0.0000
-3.3803 0.0000 7.6551
La C Br
4 2 5
Direct
0.9999 0.9999 0.2043 La
0.0001 0.0001 0.7957 La
0.3395 0.3395 0.8409 La
0.6605 0.6605 0.1591 La
0.4621 0.4621 0.9624 C
0.5379 0.5379 0.0376 C
0.1636 0.1636 0.4355 Br
0.1639 0.1639 0.8887 Br
0.5000 0.5000 0.5000 Br
0.8361 0.8361 0.1113 Br
0.8364 0.8364 0.5645 Br
```

Summary:
DOS at the Fermi energy = 0.1983 states/eV per atom
formation energy without anion corrections = -1.460 eV/atom
electronic total energy = -62.58 eV for the cell shown

## LaCBr3 (PBE)

Data for a geometry-optimized LaCBr3 structure.

POSCAR file:
```
LaCBr3
1.0
5.8735 0.0000 0.0000
0.0000 5.8735 0.0000
0.0000 0.0000 5.8735
La C Br
1 1 3
Direct
0.0000 0.0000 0.0000 La
0.5000 0.5000 0.5000 C
0.0000 0.0000 0.5000 Br
0.0000 0.5000 0.0000 Br
0.5000 0.0000 0.0000 Br
```

Summary:
DOS at the Fermi energy = 2.1481 states/eV per atom
formation energy without anion corrections = 0.032 eV/atom
electronic total energy = -19.01 eV for the cell shown

## La4C2Br3 (PBE)

Data for a geometry-optimized La4C2Br3 structure.

POSCAR file:
```
La4C2Br3
1.0
7.6061 -1.8600 0.0000
7.6061 1.8600 0.0000
-2.0294 0.0000 8.8521
La C Br
4 2 3
Direct
0.0943 0.0943 0.2062 La
0.3176 0.3176 0.3951 La
0.6824 0.6824 0.6049 La
0.9057 0.9057 0.7938 La
0.3093 0.3093 0.6611 C
0.6907 0.6907 0.3389 C
0.0000 0.0000 0.5000 Br
0.4082 0.4082 0.0970 Br
0.5918 0.5918 0.9030 Br
```

Summary:
DOS at the Fermi energy = 0.1789 states/eV per atom
formation energy without anion corrections = -1.019 eV/atom
electronic total energy = -52.35 eV for the cell shown